Density functional theory data (PBE-GGA) for a geometry-optimized RhAuBr2 structure.

```
data_RhAuBr2
_chemical_formula_sum 'Rh4 Au4 Br8'
_symmetry_space_group_name_H-M 'I -4 2 d'
_symmetry_Int_Tables_number 122
_symmetry_space_group_name_Hall 'I -4 2bw'
_cell_length_a 6.2529
_cell_length_b 6.2529
_cell_length_c 11.1718
_cell_angle_alpha 90.00
_cell_angle_beta 90.00
_cell_angle_gamma 90.00
loop_
_atom_site_label
_atom_site_fract_x
_atom_site_fract_y
_atom_site_fract_z
Rh1 0.0000 0.0000 0.0000
Au1 0.0000 0.0000 0.5000
Br1 0.2113 0.2500 0.1250
```

## Properties
volume = 27.30 Å³/atom
E_tot = -3.096 eV/atom